Entry 1:
# PBE CeHoAl, relaxed
data_CeHoAl
_chemical_formula_sum 'Ce4 Ho4 Al4'
_space_group_name_H-M_alt 'C m c m'
_space_group_IT_number 63
_space_group_name_Hall '-C 2c 2'
_cell_length_a 3.317
_cell_length_b 17.076
_cell_length_c 5.176
_cell_angle_alpha 90.00
_cell_angle_beta 90.00
_cell_angle_gamma 90.00
loop_
_atom_site_label
_atom_site_fract_x
_atom_site_fract_y
_atom_site_fract_z
_atom_site_occupancy
Ce1 0.000 0.238 0.250 1
Ho1 0.000 0.439 0.750 1
Al1 0.000 0.104 0.750 1
# - formation enthalpy at 0 K (eV per formula unit) = -0.66
# - ΔE to the lowest computed polymorph (meV per atom) = 0
# - electronic total energy (eV per atom) = -4.972



Entry 2:
# PBE CsTl6In3, relaxed
data_CsTl6In3
_chemical_formula_sum 'Cs2 Tl12 In6'
_space_group_name_H-M_alt 'P 1 21/m 1'
_space_group_IT_number 11
_cell_length_a 12.610
_cell_length_b 3.563
_cell_length_c 14.924
_cell_angle_alpha 90.00
_cell_angle_beta 100.43
_cell_angle_gamma 90.00
loop_
_space_group_symop_operation_xyz
'x,y,z'
'-x,-y,-z'
'-x,y+1/2,-z'
'x,-y+1/2,z'
loop_
_atom_site_label
_atom_site_fract_x
_atom_site_fract_y
_atom_site_fract_z
_atom_site_occupancy
Cs1 0.021 0.250 0.259 1
Tl1 0.117 0.750 0.501 1
Tl2 0.221 0.250 0.894 1
Tl3 0.243 0.250 0.675 1
Tl4 0.307 0.250 0.210 1
Tl5 0.396 0.750 0.043 1
Tl6 0.452 0.750 0.600 1
In1 0.109 0.750 0.041 1
In2 0.307 0.250 0.429 1
In3 0.425 0.750 0.815 1
# - formation enthalpy at 0 K (eV per formula unit) = 0.18
# - electronic total energy (eV per atom) = -2.309



Entry 3:
# PBE CoTc2SbH, relaxed
data_CoTc2SbH
_chemical_formula_sum 'Co1 Tc2 Sb1 H1'
_space_group_name_H-M_alt 'P 4/m m m'
_space_group_IT_number 123
_space_group_name_Hall '-P 4 2'
_cell_length_a 4.309
_cell_length_b 4.309
_cell_length_c 3.318
_cell_angle_alpha 90.00
_cell_angle_beta 90.00
_cell_angle_gamma 90.00
loop_
_atom_site_label
_atom_site_fract_x
_atom_site_fract_y
_atom_site_fract_z
_atom_site_occupancy
Co1 0.000 0.000 0.000 1
Tc1 0.000 0.500 0.500 1
Sb1 0.500 0.500 0.000 1
H1 0.000 0.000 0.500 1
# - electronic total energy (eV per atom) = -6.883